(1)
# SCAN LaWSe2, PBEsol geometry
data_LaWSe2
_chemical_formula_sum 'La1 W1 Se2'
_symmetry_space_group_name_H-M 'P 1 2/m 1'
_symmetry_Int_Tables_number 10
_cell_length_a 3.362
_cell_length_b 3.991
_cell_length_c 6.390
_cell_angle_alpha 90.00
_cell_angle_beta 90.13
_cell_angle_gamma 90.00
loop_
_symmetry_equiv_pos_as_xyz
'x,y,z'
'-x,-y,-z'
'-x,y,-z'
'x,-y,z'
loop_
_atom_site_label
_atom_site_type_symbol
_atom_site_fract_x
_atom_site_fract_y
_atom_site_fract_z
La1 La 0.000 0.000 0.000
W1 W 0.500 0.000 0.500
Se1 Se 0.498 0.500 0.740
# - D(E_F): 0.729 states/eV/atom
# - Calculated volume: 21.43 Å³ per atom
# - Polymorph energy (0 for the lowest one): 0.000 eV/f.u.
# - Size of the total moment: 0.8 μB/cell
# - Formation energy without anion corrections: -0.4377 eV per atom
# - Crystal system: monoclinic

***

(2)
# SCAN LaWSe2, PBEsol geometry
data_LaWSe2
_chemical_formula_sum 'La1 W1 Se2'
_symmetry_space_group_name_H-M 'P 4/m m m'
_symmetry_Int_Tables_number 123
_symmetry_space_group_name_Hall '-P 4 2'
_cell_length_a 4.802
_cell_length_b 4.802
_cell_length_c 3.412
_cell_angle_alpha 90.00
_cell_angle_beta 90.00
_cell_angle_gamma 90.00
loop_
_atom_site_label
_atom_site_type_symbol
_atom_site_fract_x
_atom_site_fract_y
_atom_site_fract_z
La1 La 0.000 0.000 0.000
W1 W 0.500 0.500 0.000
Se1 Se 0.000 0.500 0.500
# - D(E_F): 0.560 states/eV/atom
# - Calculated volume: 19.67 Å³ per atom
# - Polymorph energy (0 for the lowest one): 0.339 eV/f.u.
# - Size of the total moment: 1.1 μB/cell
# - Formation energy without anion corrections: -0.3528 eV per atom
# - Crystal system: tetragonal

***

(3)
# SCAN LaW2Se, PBEsol geometry
data_LaW2Se
_chemical_formula_sum 'La1 W2 Se1'
_symmetry_space_group_name_H-M 'P 4 m m'
_symmetry_Int_Tables_number 99
_cell_length_a 3.281
_cell_length_b 3.281
_cell_length_c 7.255
_cell_angle_alpha 90.00
_cell_angle_beta 90.00
_cell_angle_gamma 90.00
loop_
_symmetry_equiv_pos_as_xyz
'x,y,z'
'-y,x,z'
'-x,-y,z'
'y,-x,z'
'-x,y,z'
'y,x,z'
'x,-y,z'
'-y,-x,z'
loop_
_atom_site_label
_atom_site_type_symbol
_atom_site_fract_x
_atom_site_fract_y
_atom_site_fract_z
La1 La 0.000 0.000 0.000
W1 W 0.000 0.000 0.519
W2 W 0.500 0.500 0.704
Se1 Se 0.500 0.500 0.310
# - D(E_F): 1.031 states/eV/atom
# - Calculated volume: 19.52 Å³ per atom
# - Polymorph energy (0 for the lowest one): 0.000 eV/f.u.
# - Size of the total moment: 0.0 μB/cell
# - Formation energy without anion corrections: 0.0916 eV per atom
# - Crystal system: tetragonal

***

(4)
# SCAN LaW2Se, PBEsol geometry
data_LaW2Se
_chemical_formula_sum 'La1 W2 Se1'
_symmetry_space_group_name_H-M 'P 4/m m m'
_symmetry_Int_Tables_number 123
_symmetry_space_group_name_Hall '-P 4 2'
_cell_length_a 3.503
_cell_length_b 3.503
_cell_length_c 6.529
_cell_angle_alpha 90.00
_cell_angle_beta 90.00
_cell_angle_gamma 90.00
loop_
_atom_site_label
_atom_site_type_symbol
_atom_site_fract_x
_atom_site_fract_y
_atom_site_fract_z
La1 La 0.000 0.000 0.000
W1 W 0.500 0.500 0.314
Se1 Se 0.000 0.000 0.500
# - D(E_F): 0.939 states/eV/atom
# - Calculated volume: 20.03 Å³ per atom
# - Polymorph energy (0 for the lowest one): 3.336 eV/f.u.
# - Size of the total moment: 0.0 μB/cell
# - Formation energy without anion corrections: 0.9255 eV per atom
# - Crystal system: tetragonal

***

(5)
# SCAN LaYSe2, PBEsol geometry
data_LaYSe2
_chemical_formula_sum 'La2 Y2 Se4'
_symmetry_space_group_name_H-M 'I -4 m 2'
_symmetry_Int_Tables_number 119
_symmetry_space_group_name_Hall 'I -4 -2'
_cell_length_a 4.078
_cell_length_b 4.078
_cell_length_c 12.795
_cell_angle_alpha 90.00
_cell_angle_beta 90.00
_cell_angle_gamma 90.00
loop_
_atom_site_label
_atom_site_type_symbol
_atom_site_fract_x
_atom_site_fract_y
_atom_site_fract_z
La1 La 0.000 0.000 0.000
Y1 Y 0.000 0.500 0.250
Se1 Se 0.000 0.000 0.500
Se2 Se 0.000 0.500 0.750
# - D(E_F): 0.695 states/eV/atom
# - Calculated volume: 26.60 Å³ per atom
# - Polymorph energy (0 for the lowest one): 2.036 eV/f.u.
# - Size of the total moment: 0.0 μB/cell
# - Formation energy without anion corrections: -1.5969 eV per atom
# - Crystal system: tetragonal

***

(6)
# SCAN LaY2Se, PBEsol geometry
data_LaY2Se
_chemical_formula_sum 'La2 Y4 Se2'
_symmetry_space_group_name_H-M 'C m m 2'
_symmetry_Int_Tables_number 35
_cell_length_a 4.146
_cell_length_b 5.870
_cell_length_c 9.631
_cell_angle_alpha 90.00
_cell_angle_beta 90.00
_cell_angle_gamma 90.00
loop_
_symmetry_equiv_pos_as_xyz
'x,y,z'
'-x,-y,z'
'-x,y,z'
'x,-y,z'
'x+1/2,y+1/2,z'
'-x+1/2,-y+1/2,z'
'-x+1/2,y+1/2,z'
'x+1/2,-y+1/2,z'
loop_
_atom_site_label
_atom_site_type_symbol
_atom_site_fract_x
_atom_site_fract_y
_atom_site_fract_z
La1 La 0.000 0.000 0.000
Y1 Y 0.000 0.000 0.581
Y2 Y 0.000 0.500 0.296
Se1 Se 0.000 0.500 0.777
# - D(E_F): 0.998 states/eV/atom
# - Calculated volume: 29.30 Å³ per atom
# - Size of the total moment: 0.0 μB/cell
# - Formation energy without anion corrections: -0.7974 eV per atom
# - Crystal system: orthorhombic

***

(7)
# SCAN LaYSe2, PBEsol geometry
data_LaYSe2
_chemical_formula_sum 'La3 Y3 Se6'
_symmetry_space_group_name_H-M 'R -3 m'
_symmetry_Int_Tables_number 166
_symmetry_space_group_name_Hall '-R 3 2"'
_cell_length_a 4.0887
_cell_length_b 4.0887
_cell_length_c 20.7267
_cell_angle_alpha 90.00
_cell_angle_beta 90.00
_cell_angle_gamma 120.00
loop_
_atom_site_label
_atom_site_type_symbol
_atom_site_fract_x
_atom_site_fract_y
_atom_site_fract_z
La1 La 0.0000 0.0000 0.0000
Y1 Y 0.0000 0.0000 0.5000
Se1 Se 0.0000 0.0000 0.2438
# - D(E_F): 0.486 states/eV/atom
# - Calculated volume: 25.01 Å³ per atom
# - Polymorph energy (0 for the lowest one): 0.000 eV/f.u.
# - Size of the total moment: 0.0 μB/cell
# - Formation energy without anion corrections: -2.1058 eV per atom
# - Crystal system: trigonal

***

(8)
# SCAN LaY2Se, PBEsol geometry
data_LaY2Se
_chemical_formula_sum 'La1 Y2 Se1'
_symmetry_space_group_name_H-M 'P 4/m m m'
_symmetry_Int_Tables_number 123
_symmetry_space_group_name_Hall '-P 4 2'
_cell_length_a 3.566
_cell_length_b 3.566
_cell_length_c 8.375
_cell_angle_alpha 90.00
_cell_angle_beta 90.00
_cell_angle_gamma 90.00
loop_
_atom_site_label
_atom_site_type_symbol
_atom_site_fract_x
_atom_site_fract_y
_atom_site_fract_z
La1 La 0.000 0.000 0.000
Y1 Y 0.500 0.500 0.295
Se1 Se 0.000 0.000 0.500
# - D(E_F): 0.741 states/eV/atom
# - Calculated volume: 26.63 Å³ per atom
# - Size of the total moment: 0.0 μB/cell
# - Formation energy without anion corrections: -0.7698 eV per atom
# - Crystal system: tetragonal

***

(9)
# SCAN LaYSe2, PBEsol geometry
data_LaYSe2
_chemical_formula_sum 'La1 Y1 Se2'
_symmetry_space_group_name_H-M 'P 4/m m m'
_symmetry_Int_Tables_number 123
_symmetry_space_group_name_Hall '-P 4 2'
_cell_length_a 4.148
_cell_length_b 4.148
_cell_length_c 5.870
_cell_angle_alpha 90.00
_cell_angle_beta 90.00
_cell_angle_gamma 90.00
loop_
_atom_site_label
_atom_site_type_symbol
_atom_site_fract_x
_atom_site_fract_y
_atom_site_fract_z
La1 La 0.000 0.000 0.000
Y1 Y 0.500 0.500 0.500
Se1 Se 0.000 0.000 0.500
Se2 Se 0.500 0.500 0.000
# - D(E_F): 0.543 states/eV/atom
# - Calculated volume: 25.25 Å³ per atom
# - Polymorph energy (0 for the lowest one): 0.197 eV/f.u.
# - Size of the total moment: 0.0 μB/cell
# - Formation energy without anion corrections: -2.0565 eV per atom
# - Crystal system: tetragonal

***

(10)
# SCAN LaZnSe2, PBEsol geometry
data_LaZnSe2
_chemical_formula_sum 'La1 Zn1 Se2'
_symmetry_space_group_name_H-M 'P 1 m 1'
_symmetry_Int_Tables_number 6
_cell_length_a 4.032
_cell_length_b 4.198
_cell_length_c 5.912
_cell_angle_alpha 90.00
_cell_angle_beta 109.81
_cell_angle_gamma 90.00
loop_
_symmetry_equiv_pos_as_xyz
'x,y,z'
'x,-y,z'
loop_
_atom_site_label
_atom_site_type_symbol
_atom_site_fract_x
_atom_site_fract_y
_atom_site_fract_z
La1 La 0.000 0.000 0.000
Zn1 Zn 0.643 0.500 0.552
Se1 Se 0.287 0.000 0.583
Se2 Se 0.558 0.500 0.120
# - D(E_F): 0.275 states/eV/atom
# - Calculated volume: 23.54 Å³ per atom
# - Size of the total moment: 0.0 μB/cell
# - Formation energy without anion corrections: -1.4501 eV per atom
# - Crystal system: monoclinic

***

(11)
# SCAN LaZnSe3, PBEsol geometry
data_LaZnSe3
_chemical_formula_sum 'La1 Zn1 Se3'
_symmetry_space_group_name_H-M 'P m -3 m'
_symmetry_Int_Tables_number 221
_symmetry_space_group_name_Hall '-P 4 2 3'
_cell_length_a 4.878
_cell_length_b 4.878
_cell_length_c 4.878
_cell_angle_alpha 90.00
_cell_angle_beta 90.00
_cell_angle_gamma 90.00
loop_
_atom_site_label
_atom_site_type_symbol
_atom_site_fract_x
_atom_site_fract_y
_atom_site_fract_z
La1 La 0.000 0.000 0.000
Zn1 Zn 0.500 0.500 0.500
Se1 Se 0.000 0.500 0.500
# - D(E_F): 0.635 states/eV/atom
# - Calculated volume: 23.21 Å³ per atom
# - Size of the total moment: 0.0 μB/cell
# - Formation energy without anion corrections: -0.9782 eV per atom
# - Crystal system: cubic

***

(12)
# SCAN LaZn3Se, PBEsol geometry
data_LaZn3Se
_chemical_formula_sum 'La1 Zn3 Se1'
_symmetry_space_group_name_H-M 'P m -3 m'
_symmetry_Int_Tables_number 221
_symmetry_space_group_name_Hall '-P 4 2 3'
_cell_length_a 5.569
_cell_length_b 5.569
_cell_length_c 5.569
_cell_angle_alpha 90.00
_cell_angle_beta 90.00
_cell_angle_gamma 90.00
loop_
_atom_site_label
_atom_site_type_symbol
_atom_site_fract_x
_atom_site_fract_y
_atom_site_fract_z
La1 La 0.000 0.000 0.000
Zn1 Zn 0.000 0.000 0.500
Se1 Se 0.500 0.500 0.500
# - D(E_F): 0.725 states/eV/atom
# - Calculated volume: 34.54 Å³ per atom
# - Size of the total moment: 0.0 μB/cell
# - Formation energy without anion corrections: 0.9730 eV per atom
# - Crystal system: cubic